(1)
Here is CaThCd after structural relaxation from Alexandria. Energies are from PBE-GGA.

E = -0.127 hartree per atom
energy above the lowest structure with this stoichiometry = 27 kJ/mol of formula units
ρ = 6941 kg/m3
energy of formation = -0.023 eV per atom

Cell lengths 7.778, 7.778, 7.778 Å; angles 153.74, 153.74, 37.48 degrees
Fractional coordinates of all 3 atoms:
Ca: 0.000 0.000 0.000
Th: 0.301 0.301 0.000
Cd: 0.647 0.647 0.000

---

(2)
Here is CaThCd4 after structural relaxation from Alexandria. Energies are from PBE-GGA.

E = -0.083 hartree per atom
energy above the lowest structure with this stoichiometry = 53 kJ/mol of formula units
ρ = 7073 kg/m3
energy of formation = -0.075 eV per atom

Cell lengths 9.467, 9.467, 9.467 Å; angles 153.43, 153.43, 37.92 degrees
Fractional coordinates of all 6 atoms:
Ca: 0.000 0.000 0.000
Th: 0.750 0.250 0.500
Cd: 0.171 0.671 0.500
Cd: 0.329 0.829 0.500
Cd: 0.422 0.422 0.000
Cd: 0.578 0.578 0.000

---

(3)
Here is CaThCd6 after structural relaxation from Alexandria. Energies are from PBE-GGA.

E = -0.076 hartree per atom
ρ = 7779 kg/m3
energy of formation = -0.197 eV per atom

Cell lengths 4.962, 6.670, 6.670 Å; angles 66.22, 90.00, 90.00 degrees
Fractional coordinates of all 8 atoms:
Ca: 0.000 0.000 0.000
Th: 0.500 0.279 0.279
Cd: 0.000 0.468 0.468
Cd: 0.000 0.519 0.944
Cd: 0.000 0.944 0.519
Cd: 0.500 0.334 0.762
Cd: 0.500 0.762 0.334
Cd: 0.500 0.809 0.809

---

(4)
Here is CaThCd4 after structural relaxation from Alexandria. Energies are from PBE-GGA.

E = -0.086 hartree per atom
energy above the lowest structure with this stoichiometry = 0 kJ/mol of formula units
ρ = 7855 kg/m3
energy of formation = -0.166 eV per atom

Cell lengths 5.998, 5.998, 5.998 Å; angles 60.00, 60.00, 60.00 degrees
Fractional coordinates of all 6 atoms:
Ca: 0.000 0.000 0.000
Th: 0.750 0.750 0.750
Cd: 0.375 0.375 0.375
Cd: 0.375 0.375 0.874
Cd: 0.375 0.874 0.375
Cd: 0.874 0.375 0.375

---

(5)
Here is Ca5ThCd6 after structural relaxation from Alexandria. Energies are from PBE-GGA.

E = -0.081 hartree per atom
ρ = 5407 kg/m3
energy of formation = -0.303 eV per atom

Cell lengths 8.546, 8.546, 7.738 Å; angles 90.00, 90.00, 143.02 degrees
Fractional coordinates of all 12 atoms:
Ca: 0.000 0.000 0.000
Ca: 0.333 0.667 0.000
Ca: 0.333 0.667 0.500
Ca: 0.667 0.333 0.000
Ca: 0.667 0.333 0.500
Th: 0.000 0.000 0.500
Cd: 0.166 0.834 0.252
Cd: 0.166 0.834 0.748
Cd: 0.500 0.500 0.253
Cd: 0.500 0.500 0.747
Cd: 0.834 0.166 0.252
Cd: 0.834 0.166 0.748

---

(6)
Here is CaTiCd3 after structural relaxation from Alexandria. Energies are from PBE-GGA.

E = -0.080 hartree per atom
energy above the lowest structure with this stoichiometry = 0 kJ/mol of formula units
ρ = 4659 kg/m3
energy of formation = 0.354 eV per atom

Cell lengths 5.332, 5.332, 5.332 Å; angles 90.00, 90.00, 90.00 degrees
Fractional coordinates of all 5 atoms:
Ca: 0.000 0.000 0.000
Ti: 0.500 0.500 0.500
Cd: 0.000 0.500 0.500
Cd: 0.500 0.000 0.500
Cd: 0.500 0.500 0.000